Entry 1:
{
  "formula": "TbTcB2",
  "functional": "GGA-PBE",
  "state": "optimized geometry",
  "crystal_system": "orthorhombic",
  "ef_kj_per_mol_fu": -213,
  "polymorph_energy_mev_per_atom": 0.0,
  "lattice": [[5.981, 0.000, 0.000], [0.000, 5.315, 0.000], [0.000, 0.000, 6.458]],
  "species": ["Tb", "Tb", "Tb", "Tb", "Tc", "Tc", "Tc", "Tc", "B", "B", "B", "B", "B", "B", "B", "B"],
  "frac_coords": [[0.013, 0.250, 0.160], [0.487, 0.750, 0.660], [0.513, 0.250, 0.340], [0.987, 0.750, 0.840], [0.182, 0.250, 0.686], [0.318, 0.750, 0.186], [0.682, 0.250, 0.814], [0.818, 0.750, 0.314], [0.128, 0.578, 0.463], [0.128, 0.922, 0.463], [0.372, 0.078, 0.963], [0.372, 0.422, 0.963], [0.628, 0.578, 0.037], [0.628, 0.922, 0.037], [0.872, 0.078, 0.537], [0.872, 0.422, 0.537]]
}

Entry 2:
{
  "formula": "LiTiInGa",
  "functional": "GGA-PBE",
  "state": "optimized geometry",
  "crystal_system": "cubic",
  "ef_kj_per_mol_fu": -54,
  "lattice": [[0.000, 3.279, 3.279], [3.279, 0.000, 3.279], [3.279, 3.279, 0.000]],
  "species": ["Li", "Ti", "In", "Ga"],
  "frac_coords": [[0.000, 0.000, 0.000], [0.500, 0.500, 0.500], [0.250, 0.250, 0.250], [0.750, 0.750, 0.750]]
}

Entry 3:
{
  "formula": "InBiOsO2",
  "functional": "GGA-PBE",
  "state": "optimized geometry",
  "crystal_system": "tetragonal",
  "formation_energy_uncorrected_ev_per_atom": -0.094,
  "polymorph_energy_mev_per_atom": 0.0,
  "lattice": [[3.921, 0.000, 0.000], [0.000, 3.921, 0.000], [0.000, 0.000, 6.251]],
  "species": ["In", "Bi", "Os", "O", "O"],
  "frac_coords": [[0.000, 0.000, 0.000], [0.500, 0.500, 0.000], [0.000, 0.000, 0.500], [0.000, 0.500, 0.500], [0.500, 0.000, 0.500]]
}

Entry 4:
{
  "formula": "Ho2InGe2Rh5",
  "functional": "GGA-PBE",
  "state": "optimized geometry",
  "crystal_system": "tetragonal",
  "ef_kj_per_mol_fu": -787,
  "lattice": [[9.823, 0.000, 0.000], [0.000, 9.823, 0.000], [0.000, 0.000, 3.611]],
  "species": ["Ho", "Ho", "Ho", "Ho", "In", "In", "Ge", "Ge", "Ge", "Ge", "Rh", "Rh", "Rh", "Rh", "Rh", "Rh", "Rh", "Rh", "Rh", "Rh"],
  "frac_coords": [[0.175, 0.325, 0.000], [0.325, 0.825, 0.000], [0.675, 0.175, 0.000], [0.825, 0.675, 0.000], [0.000, 0.000, 0.000], [0.500, 0.500, 0.000], [0.123, 0.623, 0.000], [0.377, 0.123, 0.000], [0.623, 0.877, 0.000], [0.877, 0.377, 0.000], [0.000, 0.500, 0.500], [0.069, 0.788, 0.500], [0.212, 0.069, 0.500], [0.288, 0.569, 0.500], [0.431, 0.288, 0.500], [0.500, 0.000, 0.500], [0.569, 0.712, 0.500], [0.712, 0.431, 0.500], [0.788, 0.931, 0.500], [0.931, 0.212, 0.500]]
}

Entry 5:
{
  "formula": "BeZnSe2",
  "functional": "GGA-PBE",
  "state": "optimized geometry",
  "crystal_system": "monoclinic",
  "formation_energy_uncorrected_ev_per_atom": -0.736,
  "polymorph_energy_mev_per_atom": 9.9,
  "lattice": [[6.375, -1.920, 0.000], [6.375, 1.920, 0.000], [-1.115, 0.000, 6.627]],
  "species": ["Be", "Be", "Zn", "Zn", "Se", "Se", "Se", "Se"],
  "frac_coords": [[0.000, 0.000, 0.000], [0.744, 0.744, 0.236], [0.251, 0.251, 0.751], [0.495, 0.495, 0.486], [0.180, 0.180, 0.073], [0.447, 0.447, 0.828], [0.690, 0.690, 0.536], [0.923, 0.923, 0.279]]
}

Entry 6:
{
  "formula": "PaNiPSe",
  "functional": "GGA-PBE",
  "state": "optimized geometry",
  "crystal_system": "tetragonal",
  "formation_energy_uncorrected_ev_per_atom": -0.975,
  "lattice": [[4.073, 0.000, 0.000], [0.000, 4.073, 0.000], [0.000, 0.000, 8.497]],
  "species": ["Pa", "Pa", "Ni", "Ni", "P", "P", "Se", "Se"],
  "frac_coords": [[0.250, 0.250, 0.248], [0.750, 0.750, 0.752], [0.250, 0.750, 0.500], [0.750, 0.250, 0.500], [0.250, 0.250, 0.644], [0.750, 0.750, 0.356], [0.250, 0.750, 0.000], [0.750, 0.250, 0.000]]
}

Entry 7:
{
  "formula": "SrVH",
  "functional": "GGA-PBE",
  "state": "optimized geometry",
  "crystal_system": "triclinic",
  "polymorph_energy_mev_per_atom": 65.6,
  "lattice": [[4.235, 0.000, 0.000], [-1.395, 4.995, 0.000], [-1.411, -2.498, 5.444]],
  "species": ["Sr", "Sr", "V", "V", "H", "H"],
  "frac_coords": [[0.000, 0.000, 0.000], [0.318, 0.319, 0.638], [0.501, 0.762, 0.337], [0.835, 0.575, 0.337], [0.297, 0.798, 0.596], [0.662, 0.162, 0.324]]
}

Entry 8:
{
  "formula": "VFeHRh2",
  "functional": "GGA-PBE",
  "state": "optimized geometry",
  "crystal_system": "tetragonal",
  "polymorph_energy_mev_per_atom": 0.0,
  "lattice": [[3.845, 0.000, 0.000], [0.000, 3.845, 0.000], [0.000, 0.000, 3.825]],
  "species": ["V", "Fe", "H", "Rh", "Rh"],
  "frac_coords": [[0.000, 0.000, 0.000], [0.500, 0.500, 0.000], [0.000, 0.000, 0.500], [0.000, 0.500, 0.500], [0.500, 0.000, 0.500]]
}

Entry 9:
{
  "formula": "LaPr4Sm2Dy",
  "functional": "GGA-PBE",
  "state": "optimized geometry",
  "crystal_system": "monoclinic",
  "ef_kj_per_mol_fu": 12,
  "lattice": [[6.348, 0.000, 0.000], [0.000, 3.693, 0.000], [-2.166, 0.000, 11.997]],
  "species": ["La", "Pr", "Pr", "Pr", "Pr", "Sm", "Sm", "Dy"],
  "frac_coords": [[0.000, 0.000, 0.000], [0.250, 0.000, 0.750], [0.252, 0.500, 0.252], [0.748, 0.500, 0.748], [0.750, 0.000, 0.250], [0.000, 0.500, 0.500], [0.500, 0.000, 0.500], [0.500, 0.500, 0.000]]
}

Entry 10:
{
  "formula": "Pr2Dy3Hg4",
  "functional": "GGA-PBE",
  "state": "optimized geometry",
  "crystal_system": "orthorhombic",
  "ef_kj_per_mol_fu": -308,
  "lattice": [[3.519, -8.938, 0.000], [3.519, 8.938, 0.000], [0.000, 0.000, 8.256]],
  "species": ["Pr", "Pr", "Pr", "Pr", "Dy", "Dy", "Dy", "Dy", "Dy", "Dy", "Hg", "Hg", "Hg", "Hg", "Hg", "Hg", "Hg", "Hg"],
  "frac_coords": [[0.095, 0.905, 0.910], [0.405, 0.595, 0.410], [0.595, 0.405, 0.590], [0.905, 0.095, 0.090], [0.000, 0.000, 0.500], [0.011, 0.489, 0.750], [0.489, 0.011, 0.250], [0.500, 0.500, 0.000], [0.511, 0.989, 0.750], [0.989, 0.511, 0.250], [0.169, 0.831, 0.527], [0.185, 0.315, 0.750], [0.315, 0.185, 0.250], [0.331, 0.669, 0.027], [0.669, 0.331, 0.973], [0.685, 0.815, 0.750], [0.815, 0.685, 0.250], [0.831, 0.169, 0.473]]
}

Entry 11:
{
  "formula": "KMgInAs2",
  "functional": "GGA-PBE",
  "state": "optimized geometry",
  "crystal_system": "monoclinic",
  "ef_kj_per_mol_fu": -236,
  "lattice": [[7.091, -2.219, 0.000], [7.091, 2.219, 0.000], [-1.441, 0.000, 9.723]],
  "species": ["K", "K", "Mg", "Mg", "In", "In", "As", "As", "As", "As"],
  "frac_coords": [[0.152, 0.152, 0.163], [0.848, 0.848, 0.837], [0.182, 0.182, 0.571], [0.818, 0.818, 0.429], [0.447, 0.447, 0.309], [0.553, 0.553, 0.691], [0.127, 0.127, 0.821], [0.371, 0.371, 0.568], [0.629, 0.629, 0.432], [0.873, 0.873, 0.179]]
}

Entry 12:
{
  "formula": "Mg6InPd2",
  "functional": "GGA-PBE",
  "state": "optimized geometry",
  "crystal_system": "monoclinic",
  "ef_kj_per_mol_fu": -261,
  "polymorph_energy_mev_per_atom": 78.7,
  "lattice": [[6.474, -1.537, 0.000], [6.474, 1.537, 0.000], [-4.163, 0.000, 9.228]],
  "species": ["Mg", "Mg", "Mg", "Mg", "Mg", "Mg", "In", "Pd", "Pd"],
  "frac_coords": [[0.016, 0.016, 0.190], [0.257, 0.257, 0.632], [0.325, 0.325, 0.945], [0.675, 0.675, 0.055], [0.743, 0.743, 0.368], [0.984, 0.984, 0.810], [0.000, 0.000, 0.500], [0.360, 0.360, 0.244], [0.640, 0.640, 0.756]]
}

Entry 13:
{
  "formula": "MgNb3As",
  "functional": "GGA-PBE",
  "state": "optimized geometry",
  "crystal_system": "cubic",
  "ef_kj_per_mol_fu": 281,
  "polymorph_energy_mev_per_atom": 0.0,
  "lattice": [[4.806, 0.000, 0.000], [0.000, 4.806, 0.000], [0.000, 0.000, 4.806]],
  "species": ["Mg", "Nb", "Nb", "Nb", "As"],
  "frac_coords": [[0.000, 0.000, 0.000], [0.000, 0.500, 0.500], [0.500, 0.000, 0.500], [0.500, 0.500, 0.000], [0.500, 0.500, 0.500]]
}

Entry 14:
{
  "formula": "In2FeMo",
  "functional": "GGA-PBE",
  "state": "optimized geometry",
  "crystal_system": "cubic",
  "ef_kj_per_mol_fu": 230,
  "polymorph_energy_mev_per_atom": 356.7,
  "lattice": [[0.000, 3.276, 3.276], [3.276, 0.000, 3.276], [3.276, 3.276, 0.000]],
  "species": ["In", "In", "Fe", "Mo"],
  "frac_coords": [[0.000, 0.000, 0.000], [0.250, 0.250, 0.250], [0.750, 0.750, 0.750], [0.500, 0.500, 0.500]]
}

Entry 15:
{
  "formula": "KCa2Ir",
  "functional": "GGA-PBE",
  "state": "optimized geometry",
  "crystal_system": "orthorhombic",
  "ef_kj_per_mol_fu": 51,
  "polymorph_energy_mev_per_atom": 223.6,
  "lattice": [[3.955, 0.000, 0.000], [0.000, 4.074, 0.000], [0.000, 0.000, 8.863]],
  "species": ["K", "Ca", "Ca", "Ir"],
  "frac_coords": [[0.000, 0.000, 0.000], [0.000, 0.000, 0.366], [0.500, 0.500, 0.614], [0.500, 0.500, 0.307]]
}

Entry 16:
{
  "formula": "Sc2NbIr",
  "functional": "GGA-PBE",
  "state": "optimized geometry",
  "crystal_system": "trigonal",
  "ef_kj_per_mol_fu": 68,
  "polymorph_energy_mev_per_atom": 595.6,
  "lattice": [[1.508, 0.870, 9.840], [-1.508, 0.870, 9.840], [0.000, -1.741, 9.840]],
  "species": ["Sc", "Sc", "Nb", "Ir"],
  "frac_coords": [[0.084, 0.084, 0.084], [0.916, 0.916, 0.916], [0.500, 0.500, 0.500], [0.000, 0.000, 0.000]]
}

Entry 17:
{
  "formula": "ZnC3",
  "functional": "GGA-PBE",
  "state": "optimized geometry",
  "crystal_system": "cubic",
  "ef_kj_per_mol_fu": 1517,
  "polymorph_energy_mev_per_atom": 3478.2,
  "lattice": [[3.975, 0.000, 0.000], [0.000, 3.975, 0.000], [0.000, 0.000, 3.975]],
  "species": ["Zn", "C", "C", "C"],
  "frac_coords": [[0.000, 0.000, 0.000], [0.000, 0.000, 0.500], [0.000, 0.500, 0.000], [0.500, 0.000, 0.000]]
}

Entry 18:
{
  "formula": "MnSi2",
  "functional": "GGA-PBE",
  "state": "optimized geometry",
  "crystal_system": "cubic",
  "formation_energy_uncorrected_ev_per_atom": 0.399,
  "lattice": [[0.000, 3.452, 3.452], [3.452, 0.000, 3.452], [3.452, 3.452, 0.000]],
  "species": ["Mn", "Mn", "Si", "Si", "Si", "Si"],
  "frac_coords": [[0.125, 0.125, 0.125], [0.875, 0.875, 0.875], [0.000, 0.500, 0.500], [0.500, 0.000, 0.500], [0.500, 0.500, 0.000], [0.500, 0.500, 0.500]]
}

Entry 19:
{
  "formula": "YEr2Cr2C4",
  "functional": "GGA-PBE",
  "state": "optimized geometry",
  "crystal_system": "monoclinic",
  "ef_kj_per_mol_fu": -102,
  "lattice": [[6.512, -1.696, 0.000], [6.512, 1.696, 0.000], [-2.101, 0.000, 5.558]],
  "species": ["Y", "Er", "Er", "Cr", "Cr", "C", "C", "C", "C"],
  "frac_coords": [[0.000, 0.000, 0.000], [0.135, 0.135, 0.544], [0.865, 0.865, 0.456], [0.321, 0.321, 0.015], [0.679, 0.679, 0.985], [0.217, 0.217, 0.194], [0.459, 0.459, 0.254], [0.541, 0.541, 0.746], [0.783, 0.783, 0.806]]
}

Entry 20:
{
  "formula": "YSbP2Cl",
  "functional": "GGA-PBE",
  "state": "optimized geometry",
  "crystal_system": "tetragonal",
  "formation_energy_uncorrected_ev_per_atom": 0.032,
  "polymorph_energy_mev_per_atom": 0.0,
  "lattice": [[5.092, 0.000, 0.000], [0.000, 5.092, 0.000], [0.000, 0.000, 4.961]],
  "species": ["Y", "Sb", "P", "P", "Cl"],
  "frac_coords": [[0.000, 0.000, 0.000], [0.500, 0.500, 0.500], [0.000, 0.500, 0.500], [0.500, 0.000, 0.500], [0.500, 0.500, 0.000]]
}

Number 1: VASP energy -122.23 eV for the cell shown. Number 2: VASP energy -16.13 eV for the cell shown. Number 3: VASP energy -28.23 eV for the cell shown. Number 4: VASP energy -132.08 eV for the cell shown. Number 5: VASP energy -29.83 eV for the cell shown. Number 6: VASP energy -56.14 eV for the cell shown. Number 7: VASP energy -27.19 eV for the cell shown. Number 8: VASP energy -36.61 eV for the cell shown. Number 9: VASP energy -37.96 eV for the cell shown. Number 10: VASP energy -55.54 eV for the cell shown. Number 11: VASP energy -34.36 eV for the cell shown. Number 12: VASP energy -25.39 eV for the cell shown. Number 13: VASP energy -33.54 eV for the cell shown. Number 14: VASP energy -22.38 eV for the cell shown. Number 15: VASP energy -13.43 eV for the cell shown. Number 16: VASP energy -30.89 eV for the cell shown. Number 17: VASP energy -13.22 eV for the cell shown. Number 18: VASP energy -37.64 eV for the cell shown. Number 19: VASP energy -72.79 eV for the cell shown. Number 20: VASP energy -23.09 eV for the cell shown.